1.
VASP calculation (PBE) on a relaxed Sm5Dy2Ho5 crystal.

The structure belongs to space group C2/m (No. 12); the cell edges are 15.1348, 5.0426 and 11.3014 Å and the angles 90.00°, 116.53° and 90.00°. The distinct sites, in fractional coordinates, are Sm at (0.0000, 0.0000, 0.0000), Sm at (0.0839, 0.0000, 0.7505), Sm at (0.1661, 0.0000, 0.4994), Dy at (0.0833, 0.5000, 0.2489), Ho at (0.0000, 0.5000, 0.5000), Ho at (0.1676, 0.5000, 0.0008) and Ho at (0.2492, 0.0000, 0.2483).

The electronic total energy is -110.95 eV/cell. Its magnetization is 0.00 Bohr magnetons per cell.

***

2.
VASP calculation (PBE) on a relaxed DyMg3Pd crystal.

The structure belongs to space group P2_1/m (No. 11); the cell edges are 5.4640, 5.8182 and 7.4393 Å and the angles 90.00°, 107.91° and 90.00°. The distinct sites, in fractional coordinates, are Dy at (0.1033, 0.2500, 0.3934), Mg at (0.0280, 0.2500, 0.8979), Mg at (0.4941, 0.9998, 0.7958) and Pd at (0.3279, 0.7500, 0.4638).

As for the energy relative to the lowest polymorph listed for this composition: 0.000 eV per atom. Its magnetization is 0.00 Bohr magnetons per cell.

***

3.
VASP calculation (PBE) on a relaxed SnAsSe2N crystal.

The structure belongs to space group P4/mmm (No. 123); the cell edges are 5.3235, 5.3235 and 5.4850 Å and the angles 90.00°, 90.00° and 90.00°. The distinct sites, in fractional coordinates, are Sn at (0.0000, 0.0000, 0.0000), As at (0.0000, 0.0000, 0.5000), Se at (0.0000, 0.5000, 0.0000) and N at (0.5000, 0.5000, 0.5000).

Its formation energy from raw total energies is 1.56 eV per atom. As for the energy relative to the lowest polymorph listed for this composition: 1.005 eV per atom. Its magnetization is 1.52 Bohr magnetons per cell.